Computed, not measured: a relaxed structure of ZnGa2Ir2 at the PBE level of DFT.

```
ZnGa2Ir2
1.0
7.1806 0.0000 0.0000
0.0000 7.1806 0.0000
0.0000 0.0000 2.9747
Ir Ga Zn
4 4 2
Direct
0.1517 0.3483 0.0000
0.6517 0.1517 0.0000
0.8483 0.6517 0.0000
0.3483 0.8483 0.0000
0.8528 0.3528 0.5000
0.1472 0.6472 0.5000
0.3528 0.1472 0.5000
0.6472 0.8528 0.5000
0.0000 0.0000 0.0000
0.5000 0.5000 0.0000
```

Energy of formation   -0.35 eV/atom
VASP energy   -5.36 eV/atom
DOS at the Fermi energy   1.5 states/eV/f.u.